Entry 1:
A plane-wave DFT calculation with PBE was carried out for a relaxed structure of Ac4Ni2H.

Output
Its electronic total energy is -4.59 eV per atom.

```
data_Ac4Ni2H
_chemical_formula_sum 'Ac4 Ni2 H1'
_cell_length_a 8.243
_cell_length_b 8.243
_cell_length_c 8.243
_cell_angle_alpha 143.46
_cell_angle_beta 143.46
_cell_angle_gamma 52.64
_space_group_name_H-M_alt 'P 1'
_space_group_IT_number 1
loop_
_space_group_symop_operation_xyz
'x,y,z'
loop_
_atom_site_label
_atom_site_type_symbol
_atom_site_fract_x
_atom_site_fract_y
_atom_site_fract_z
Ac1 Ac 0.000 0.500 0.500
Ac2 Ac 0.201 0.201 0.000
Ac3 Ac 0.500 0.000 0.500
Ac4 Ac 0.799 0.799 0.000
Ni1 Ni 0.392 0.392 0.000
Ni2 Ni 0.608 0.608 0.000
H1 H 0.000 0.000 0.000
```

=====

Entry 2:
A plane-wave DFT calculation with PBE was carried out for a relaxed structure of AcNi2PH2.

Output
Its electronic total energy is -5.21 eV per atom.

```
data_AcNi2PH2
_chemical_formula_sum 'Ac2 Ni4 P2 H4'
_cell_length_a 5.986
_cell_length_b 4.978
_cell_length_c 6.160
_cell_angle_alpha 90.00
_cell_angle_beta 108.71
_cell_angle_gamma 90.00
_space_group_name_H-M_alt 'P 1'
_space_group_IT_number 1
loop_
_space_group_symop_operation_xyz
'x,y,z'
loop_
_atom_site_label
_atom_site_type_symbol
_atom_site_fract_x
_atom_site_fract_y
_atom_site_fract_z
Ac1 Ac 0.180 0.250 0.295
Ac2 Ac 0.820 0.750 0.705
Ni1 Ni 0.339 0.002 0.800
Ni2 Ni 0.339 0.498 0.800
Ni3 Ni 0.661 0.502 0.200
Ni4 Ni 0.661 0.998 0.200
P1 P 0.330 0.750 0.098
P2 P 0.670 0.250 0.902
H1 H 0.140 0.250 0.723
H2 H 0.282 0.750 0.611
H3 H 0.718 0.250 0.389
H4 H 0.860 0.750 0.277
```